## HfMo2F (PBE with a Hubbard U)

Data for a relaxed HfMo2F crystal.

Unit cell a=7.686 b=7.686 c=5.897 alpha=49.33 beta=49.33 gamma=90.00
Fractional positions:
1 Mo 0.375 0.453 0.750
2 Mo 0.203 0.625 0.250
3 Mo 0.547 0.125 0.250
4 Mo 0.875 0.797 0.750
5 Hf 0.000 0.000 0.000
6 Hf 0.750 0.250 0.500
7 F 0.500 0.500 0.000
8 F 0.250 0.750 0.500

Summary:
DFT total energy (eV/atom): -5.8569
Polymorph energy (0 for the lowest one) (meV/atom): 0